1.
This record from Alexandria via LeMat-Bulk describes an optimized crystal structure of Sr2PrCuO4. The functional is PBE. Values from VASP.

ΔE_f (raw) = -2.2364 eV per atom

Structure (Quantum ESPRESSO input):
```
&SYSTEM
  ibrav = 0, nat = 8, ntyp = 4
/
ATOMIC_SPECIES
Sr 87.62 Sr.upf
Pr 140.91 Pr.upf
Cu 63.55 Cu.upf
O 16.00 O.upf
CELL_PARAMETERS angstrom
6.102 0.000 0.000
0.000 3.600 0.000
-2.238 0.000 5.845
ATOMIC_POSITIONS angstrom
Sr 0.000 0.000 0.000
Sr 3.051 1.800 0.000
Pr -1.119 1.800 2.922
Cu 1.932 0.000 2.922
O -0.282 0.000 4.364
O 0.912 1.800 1.528
O 2.951 1.800 4.317
O 4.145 0.000 1.481
```


2.
This record from Alexandria via LeMat-Bulk describes an optimized crystal structure of Na2PuInO4. The functional is PBE. Values from VASP.

ΔE_f (raw) = -1.9197 eV per atom

Structure (Quantum ESPRESSO input):
```
&SYSTEM
  ibrav = 0, nat = 8, ntyp = 4
/
ATOMIC_SPECIES
Na 22.99 Na.upf
Pu 244.00 Pu.upf
In 114.82 In.upf
O 16.00 O.upf
CELL_PARAMETERS angstrom
6.069 0.000 0.000
0.000 3.446 0.000
-2.739 0.000 6.021
ATOMIC_POSITIONS angstrom
Na 0.000 0.000 0.000
Na -1.369 1.723 3.011
Pu 1.665 0.000 3.011
In 3.035 1.723 0.000
O 0.914 1.723 1.703
O -0.064 0.000 4.004
O 3.395 0.000 2.017
O 2.417 1.723 4.319
```


3.
This record from Alexandria via LeMat-Bulk describes an optimized crystal structure of Sc4CdIr3. The functional is PBE. Values from VASP.

formation energy from the elements = -801 meV/atom

Structure (Quantum ESPRESSO input):
```
&SYSTEM
  ibrav = 0, nat = 8, ntyp = 3
/
ATOMIC_SPECIES
Sc 44.96 Sc.upf
Cd 112.41 Cd.upf
Ir 192.22 Ir.upf
CELL_PARAMETERS angstrom
4.549 0.000 0.000
0.000 4.549 0.000
0.000 0.000 6.930
ATOMIC_POSITIONS angstrom
Sc 0.000 2.274 1.647
Sc 0.000 2.274 5.283
Sc 2.274 0.000 1.647
Sc 2.274 0.000 5.283
Cd 0.000 0.000 3.465
Ir 0.000 0.000 0.000
Ir 2.274 2.274 0.000
Ir 2.274 2.274 3.465
```


4.
This record from Alexandria via LeMat-Bulk describes an optimized crystal structure of MgP2Cl. The functional is PBE. Values from VASP.

ΔE_f (raw) = -0.0889 eV per atom

Structure (Quantum ESPRESSO input):
```
&SYSTEM
  ibrav = 0, nat = 4, ntyp = 3
/
ATOMIC_SPECIES
Mg 24.30 Mg.upf
P 30.97 P.upf
Cl 35.45 Cl.upf
CELL_PARAMETERS angstrom
-2.797 2.797 2.420
2.797 -2.797 2.420
2.797 2.797 -2.420
ATOMIC_POSITIONS angstrom
Mg 0.000 0.000 0.000
P 2.797 0.000 0.000
P 0.000 2.797 0.000
Cl 0.000 0.000 2.420
```


5.
This record from Alexandria via LeMat-Bulk describes an optimized crystal structure of PaTaH3. The functional is PBE. Values from VASP.

energy = -6.419 eV per atom

Structure (Quantum ESPRESSO input):
```
&SYSTEM
  ibrav = 0, nat = 20, ntyp = 3
/
ATOMIC_SPECIES
Pa 231.04 Pa.upf
Ta 180.95 Ta.upf
H 1.01 H.upf
CELL_PARAMETERS angstrom
6.694 0.000 0.000
0.000 5.232 0.000
-2.396 0.000 5.936
ATOMIC_POSITIONS angstrom
Pa 0.426 1.138 0.685
Pa -0.772 1.478 3.653
Pa 5.070 3.754 2.282
Pa 3.872 4.095 5.250
Ta 1.825 3.918 2.270
Ta 0.627 3.930 5.238
Ta 3.671 1.302 0.698
Ta 2.473 1.314 3.666
H 0.313 3.250 1.285
H -0.885 4.599 4.253
H 1.018 0.381 2.753
H -0.180 2.235 5.720
H 1.129 2.777 3.689
H 2.327 5.072 0.721
H 1.971 0.161 5.215
H 3.169 2.456 2.247
H 4.478 2.997 0.215
H 3.280 4.851 3.183
H 5.183 0.634 1.683
H 3.985 1.982 4.651
```


6.
This record from Alexandria via LeMat-Bulk describes an optimized crystal structure of CeDy5Ho2Tm. The functional is PBE. Values from VASP.

formation energy from the elements = 170 meV/atom

Structure (Quantum ESPRESSO input):
```
&SYSTEM
  ibrav = 0, nat = 18, ntyp = 4
/
ATOMIC_SPECIES
Ce 140.12 Ce.upf
Dy 162.50 Dy.upf
Ho 164.93 Ho.upf
Tm 168.93 Tm.upf
CELL_PARAMETERS angstrom
2.832 -10.714 0.000
2.832 10.714 0.000
0.000 0.000 9.499
ATOMIC_POSITIONS angstrom
Ce 2.832 6.639 4.750
Ce 2.832 -6.639 0.000
Dy 2.832 10.414 4.832
Dy 2.832 4.984 1.796
Dy 2.832 4.166 7.667
Dy 2.832 2.261 4.504
Dy 2.832 0.621 7.334
Dy 2.832 -0.621 2.584
Dy 2.832 -2.261 9.253
Dy 2.832 -4.166 2.917
Dy 2.832 -4.984 6.546
Dy 2.832 -10.414 0.082
Ho 2.832 8.275 1.876
Ho 2.832 7.881 7.710
Ho 2.832 -7.881 2.960
Ho 2.832 -8.275 6.625
Tm 2.832 2.085 0.863
Tm 2.832 -2.085 5.612
```


7.
This record from Alexandria via LeMat-Bulk describes an optimized crystal structure of YZrCl2. The functional is PBE. Values from VASP.

ΔE_f (raw) = -0.8813 eV per atom

Structure (Quantum ESPRESSO input):
```
&SYSTEM
  ibrav = 0, nat = 4, ntyp = 3
/
ATOMIC_SPECIES
Y 88.91 Y.upf
Zr 91.22 Zr.upf
Cl 35.45 Cl.upf
CELL_PARAMETERS angstrom
1.596 -3.151 0.000
1.596 3.151 0.000
0.000 0.000 9.113
ATOMIC_POSITIONS angstrom
Y 0.000 0.000 0.000
Zr 0.000 0.000 4.556
Cl 1.596 0.000 2.372
Cl 1.596 0.000 6.741
```


8.
This record from Alexandria via LeMat-Bulk describes an optimized crystal structure of CeSmCuSi. The functional is PBE. Values from VASP.

ΔE_f (raw) = -0.3180 eV per atom

Structure (Quantum ESPRESSO input):
```
&SYSTEM
  ibrav = 0, nat = 4, ntyp = 4
/
ATOMIC_SPECIES
Ce 140.12 Ce.upf
Sm 150.36 Sm.upf
Cu 63.55 Cu.upf
Si 28.09 Si.upf
CELL_PARAMETERS angstrom
0.000 3.566 3.566
3.566 0.000 3.566
3.566 3.566 0.000
ATOMIC_POSITIONS angstrom
Ce 0.000 0.000 0.000
Sm 3.566 3.566 3.566
Cu 1.783 1.783 1.783
Si 5.349 5.349 5.349
```


9.
This record from Alexandria via LeMat-Bulk describes an optimized crystal structure of Nd2Zn6In. The functional is PBE. Values from VASP.

formation energy from the elements = -312 meV/atom

Structure (Quantum ESPRESSO input):
```
&SYSTEM
  ibrav = 0, nat = 9, ntyp = 3
/
ATOMIC_SPECIES
Nd 144.24 Nd.upf
Zn 65.41 Zn.upf
In 114.82 In.upf
CELL_PARAMETERS angstrom
5.938 0.000 0.000
-2.969 5.142 0.000
0.000 0.000 5.925
ATOMIC_POSITIONS angstrom
Nd 0.000 3.428 0.926
Nd 2.969 1.714 4.999
Zn 0.000 1.878 3.855
Zn -1.343 4.203 3.855
Zn 1.626 0.939 2.070
Zn 1.343 4.203 3.855
Zn 4.312 0.939 2.070
Zn 2.969 3.264 2.070
In 0.000 0.000 0.000
```


10.
This record from Alexandria via LeMat-Bulk describes an optimized crystal structure of Cs2Y2Ir. The functional is PBE. Values from VASP.

formation energy from the elements = 1282 meV/atom

Structure (Quantum ESPRESSO input):
```
&SYSTEM
  ibrav = 0, nat = 10, ntyp = 3
/
ATOMIC_SPECIES
Cs 132.91 Cs.upf
Y 88.91 Y.upf
Ir 192.22 Ir.upf
CELL_PARAMETERS angstrom
7.613 0.000 0.000
0.000 7.613 0.000
0.000 0.000 6.103
ATOMIC_POSITIONS angstrom
Cs 1.172 2.634 0.000
Cs 2.634 6.441 0.000
Cs 4.979 1.172 0.000
Cs 6.441 4.979 0.000
Y 1.405 5.211 3.051
Y 2.402 1.405 3.051
Y 5.211 6.209 3.051
Y 6.209 2.402 3.051
Ir 0.000 0.000 0.000
Ir 3.807 3.807 0.000
```


11.
This record from Alexandria via LeMat-Bulk describes an optimized crystal structure of ThMg2ZnCd2. The functional is PBE. Values from VASP.

formation energy from the elements = 368 meV/atom

Structure (Quantum ESPRESSO input):
```
&SYSTEM
  ibrav = 0, nat = 6, ntyp = 4
/
ATOMIC_SPECIES
Th 232.04 Th.upf
Mg 24.30 Mg.upf
Zn 65.41 Zn.upf
Cd 112.41 Cd.upf
CELL_PARAMETERS angstrom
-2.637 2.637 5.772
2.637 -2.637 5.772
2.637 2.637 -5.772
ATOMIC_POSITIONS angstrom
Th 0.000 0.000 0.000
Mg 2.637 0.000 2.886
Mg 0.000 2.637 2.886
Zn 0.000 0.000 5.772
Cd 0.000 0.000 3.284
Cd 0.000 0.000 8.261
```


12.
This record from Alexandria via LeMat-Bulk describes an optimized crystal structure of Cs2SrSb. The functional is PBE. Values from VASP.

ΔE_f (raw) = -0.0451 eV per atom

Structure (Quantum ESPRESSO input):
```
&SYSTEM
  ibrav = 0, nat = 4, ntyp = 3
/
ATOMIC_SPECIES
Cs 132.91 Cs.upf
Sr 87.62 Sr.upf
Sb 121.76 Sb.upf
CELL_PARAMETERS angstrom
0.000 4.641 4.641
4.641 0.000 4.641
4.641 4.641 0.000
ATOMIC_POSITIONS angstrom
Cs 2.321 2.321 2.321
Cs 6.962 6.962 6.962
Sr 0.000 0.000 0.000
Sb 4.641 4.641 4.641
```